Below is a relaxed structure of Na2InSnBr5, with properties calculated at the PBE-GGA level.

abc: 4.3234 9.6533 15.6327
angles: 90.00 90.00 102.94
Element x y z (fractional)
Na: 0.8674 0.7347 0.7635
Na: 0.0302 0.0604 0.6478
Na: 0.1326 0.2653 0.2635
Na: 0.9698 0.9396 0.1478
In: 0.5900 0.1801 0.9278
In: 0.4100 0.8199 0.4278
Sn: 0.7086 0.4172 0.5444
Sn: 0.2914 0.5828 0.0444
Br: 0.4422 0.8845 0.0219
Br: 0.7730 0.5460 0.9089
Br: 0.4705 0.9410 0.7621
Br: 0.1921 0.3841 0.6769
Br: 0.8742 0.7484 0.5707
Br: 0.5578 0.1155 0.5219
Br: 0.2270 0.4540 0.4089
Br: 0.5295 0.0590 0.2621
Br: 0.8079 0.6159 0.1769
Br: 0.1258 0.2516 0.0707

Properties
Fermi-level density of states, states/eV/atom: 0.0000
E_form (uncorrected), eV per atom: -1.057
Calculated total energy, eV/atom: -3.0287